Compound: ErZrHg2
Source: Alexandria via LeMat-Bulk
Functional: GGA-PBE
Structure: optimized geometry

Output
The value obtained for the calculated formation energy is -0.263 eV/atom. As for the space group: No. 123. Its energy relative to the lowest polymorph listed for this composition is 16 meV per atom. The value obtained for the raw total energy is -14.77 eV/cell. For the density, the calculation gives 11.77 Mg/m³.

Cell: 4.7290 4.7290 4.1618 Å, 90.00 90.00 90.00°
Fractional positions:
Er 0.0000 0.0000 0.0000
Zr 0.5000 0.5000 0.0000
Hg 0.0000 0.5000 0.5000
Hg 0.5000 0.0000 0.5000